Compound: Cd2CoRe
Source: the Alexandria database
Functional: PBE
Structure: relaxed

Geometry as POSCAR:
```
Cd2CoRe
1.0
3.8871 0.0000 0.0000
0.0000 3.8871 0.0000
0.0000 0.0000 8.7602
Cd Co Re
4 2 2
Direct
0.0000 0.5000 0.2500
0.0000 0.5000 0.7500
0.5000 0.0000 0.2500
0.5000 0.0000 0.7500
0.0000 0.0000 0.0000
0.5000 0.5000 0.5000
0.0000 0.0000 0.5000
0.5000 0.5000 0.0000
```

Summary:
Calculated formation energy, eV per atom: 0.735
ΔE to the lowest computed polymorph, meV per atom: 510
Total moment, μB/f.u.: 2.61